(1)
Material: Tb5PaGe4
Method: DFT, PBE
State: optimized geometry

Results
- Formation energy from the elements: -5.02 eV per formula unit
- Fermi-level density of states: 9.61 states/eV/cell
- Space-group type: C2/m

Lattice parameters (Å, degrees): 4.1477 8.0868 9.1837 104.30 103.05 90.00
Fractional positions:
Ge (0.9977, 0.7489, 0.9955)
Pa (0.5000, 0.0000, 0.0000)
Ge (0.0023, 0.2511, 0.0045)
Ge (0.6675, 0.0942, 0.3350)
Tb (0.1691, 0.3413, 0.3383)
Tb (0.8309, 0.6587, 0.6617)
Ge (0.3325, 0.9058, 0.6650)
Tb (0.1659, 0.8394, 0.3318)
Tb (0.8341, 0.1606, 0.6682)
Tb (0.5000, 0.5000, 0.0000)



(2)
Material: TbPaTcGe
Method: DFT, PBE
State: optimized geometry

Results
- Formation energy from the elements: -0.60 eV per formula unit
- Fermi-level density of states: 5.36 states/eV/cell
- Space-group type: F-43m

Lattice parameters (Å, degrees): 4.9573 4.9573 4.9573 60.00 60.00 60.00
Fractional positions:
Tc (0.2500, 0.2500, 0.2500)
Tb (0.0000, 0.0000, 0.0000)
Ge (0.7500, 0.7500, 0.7500)
Pa (0.5000, 0.5000, 0.5000)



(3)
Material: Pa2TcGe
Method: DFT, PBE
State: optimized geometry

Results
- Formation energy from the elements: -0.44 eV per formula unit
- Fermi-level density of states: 5.40 states/eV/cell
- Space-group type: Fm-3m
- Polymorph energy (0 for the lowest one): 219 meV per atom

Lattice parameters (Å, degrees): 4.9207 4.9207 4.9207 60.00 60.00 60.00
Fractional positions:
Pa (0.7500, 0.7500, 0.7500)
Tc (0.0000, 0.0000, 0.0000)
Ge (0.5000, 0.5000, 0.5000)
Pa (0.2500, 0.2500, 0.2500)